# BeCrInIr2 PBEsol optimized geometry
# Energy of formation, eV/atom: 1.444
# Calculated volume, Å³ per atom: 18.67
# D(E_F), states/eV/atom: 0.776
# Uncorrected energy, eV per cell: -29.65
data_BeCrInIr2
_chemical_formula_sum 'Be1 Cr1 In1 Ir2'
_space_group_name_H-M_alt 'P 4/m m m'
_space_group_IT_number 123
_space_group_name_Hall '-P 4 2'
_cell_length_a 4.4275
_cell_length_b 4.4275
_cell_length_c 4.7615
_cell_angle_alpha 90.00
_cell_angle_beta 90.00
_cell_angle_gamma 90.00
loop_
_atom_site_label
_atom_site_fract_x
_atom_site_fract_y
_atom_site_fract_z
Be1 0.0000 0.0000 0.0000
Cr1 0.5000 0.5000 0.5000
In1 0.5000 0.5000 0.0000
Ir1 0.0000 0.5000 0.5000